Entry 1:
VASP calculation (PBE) on a relaxed La2RuO6 crystal.

a = 3.872 Å, b = 5.557 Å, c = 6.528 Å
α = 115.19°, β = 107.24°, γ = 90.00°
Atoms (fractional coordinates):
La 0.666 0.666 0.332
La 0.334 0.334 0.668
Ru 0.000 0.000 0.000
O 0.143 0.374 0.286
O 0.857 0.088 0.714
O 0.857 0.626 0.714
O 0.500 0.202 0.000
O 0.143 0.912 0.286
O 0.500 0.798 0.000

Values from the calculation:
- E_form (uncorrected) (eV/f.u.) = -18.5
- symmetry = No. 71
- DFT total energy (eV/atom) = -7.4910
- Fermi-level density of states (states/eV per atom) = 0.21



Entry 2:
VASP calculation (PBE) on a relaxed LaRu3O crystal.

a = 4.274 Å, b = 4.274 Å, c = 4.274 Å
α = 90.00°, β = 90.00°, γ = 90.00°
Atoms (fractional coordinates):
Ru 0.000 0.500 0.000
Ru 0.000 0.000 0.500
Ru 0.500 0.000 0.000
O 0.000 0.000 0.000
La 0.500 0.500 0.500

Values from the calculation:
- E_form (uncorrected) (eV/f.u.) = 0.1
- symmetry = No. 221
- DFT total energy (eV/atom) = -7.5275
- Fermi-level density of states (states/eV per atom) = 1.00



Energy above the most stable polymorph in this dataset values, unit eV/atom, following the record order: 0.258, 0.000.